A relaxed Nb2VAu crystal, computed with PBE.

Unit cell a=3.8645 b=3.8645 c=19.7893 alpha=90.00 beta=90.00 gamma=90.00
With the nearest neighbours (Å) after each atom.
Atoms (fractional coordinates):
1 Nb 0.2403 0.2500 0.1250  4 Nb 2.68-2.79, 2 V 2.81, 2 Au 2.84
2 Nb 0.2500 0.7403 0.3750  4 Nb 2.68-2.79, 2 V 2.81, 2 Au 2.84
3 Nb 0.2500 0.7597 0.8750  4 Nb 2.68-2.79, 2 V 2.81, 2 Au 2.84
4 Nb 0.2597 0.2500 0.6250  4 Nb 2.68-2.79, 2 V 2.81, 2 Au 2.84
5 Nb 0.7403 0.7500 0.6250  4 Nb 2.68-2.79, 2 V 2.81, 2 Au 2.84
6 Nb 0.7500 0.2403 0.8750  4 Nb 2.68-2.79, 2 V 2.81, 2 Au 2.84
7 Nb 0.7500 0.2597 0.3750  4 Nb 2.68-2.79, 2 V 2.81, 2 Au 2.84
8 Nb 0.7597 0.7500 0.1250  4 Nb 2.68-2.79, 2 V 2.81, 2 Au 2.84
9 V 0.0000 0.0000 0.0000  4 Au 2.73, 4 Nb 2.81
10 V 0.0000 0.5000 0.2500  4 Au 2.73, 4 Nb 2.81
11 V 0.5000 0.0000 0.7500  4 Au 2.73, 4 Nb 2.81
12 V 0.5000 0.5000 0.5000  4 Au 2.73, 4 Nb 2.81
13 Au 0.0000 0.0000 0.5000  4 V 2.73, 4 Nb 2.84
14 Au 0.0000 0.5000 0.7500  4 V 2.73, 4 Nb 2.84
15 Au 0.5000 0.0000 0.2500  4 V 2.73, 4 Nb 2.84
16 Au 0.5000 0.5000 0.0000  4 V 2.73, 4 Nb 2.84

Computed properties:
The formation energy comes out at 0.519 eV/atom. The calculation puts the mass density at 9.75 g/cm³. As for the electronic total energy: -7.615 eV per atom. As for the space group: I-42d (122).